[1]
Here is an optimized crystal structure of RbCl8 from Alexandria. Energies are from PBE.

```
RbCl8
1.0
6.061 -3.537 0.000
6.061 3.537 0.000
-4.515 0.000 7.427
Rb Cl
1 8
Cartesian
0.000 0.000 0.000 Rb
-2.038 0.000 4.487 Cl
1.452 0.000 3.029 Cl
3.020 0.000 1.643 Cl
0.273 0.000 7.160 Cl
7.248 0.000 0.558 Cl
4.475 0.000 5.946 Cl
5.964 0.000 4.502 Cl
8.812 0.000 2.883 Cl
```

VASP energy: -0.156 Ry/atom
Size of the total moment: 0.973 μB/f.u.
SG: No. 8



[2]
Here is an optimized crystal structure of RbCl3 from Alexandria. Energies are from PBE.

```
RbCl3
1.0
5.779 0.000 0.000
0.000 5.779 0.000
0.000 0.000 17.547
Rb Cl
4 12
Cartesian
0.000 0.000 0.000 Rb
0.000 2.890 4.387 Rb
2.890 0.000 13.160 Rb
2.890 2.890 8.774 Rb
0.000 0.000 8.774 Cl
0.000 2.890 13.160 Cl
0.846 1.445 10.967 Cl
1.445 3.735 15.354 Cl
1.445 4.934 6.580 Cl
2.044 1.445 2.193 Cl
2.890 0.000 4.387 Cl
2.890 2.890 0.000 Cl
3.735 4.335 2.193 Cl
4.335 0.846 6.580 Cl
4.335 2.044 15.354 Cl
4.934 4.335 10.967 Cl
```

VASP energy: -0.166 Ry/atom
Size of the total moment: 0.000 μB/f.u.
SG: No. 122



[3]
Here is an optimized crystal structure of Rb4Cl3 from Alexandria. Energies are from PBE.

```
Rb4Cl3
1.0
2.379 1.374 15.978
-2.379 1.374 15.978
0.000 -2.747 15.978
Rb Cl
4 3
Cartesian
0.000 0.000 5.823 Rb
0.000 0.000 17.907 Rb
0.000 0.000 30.028 Rb
0.000 0.000 42.113 Rb
0.000 0.000 0.000 Cl
0.000 0.000 12.110 Cl
0.000 0.000 35.825 Cl
```

VASP energy: -0.220 Ry/atom
Size of the total moment: 0.000 μB/f.u.
SG: No. 166



[4]
Here is an optimized crystal structure of RbCl3 from Alexandria. Energies are from PBE.

```
RbCl3
1.0
8.760 0.000 0.000
0.000 10.593 0.000
0.000 0.000 6.319
Rb Cl
4 12
Cartesian
0.000 1.709 1.580 Rb
0.000 8.884 4.740 Rb
4.380 3.587 4.740 Rb
4.380 7.006 1.580 Rb
0.000 3.100 4.740 Cl
0.000 7.493 1.580 Cl
1.856 1.272 4.740 Cl
1.856 9.321 1.580 Cl
2.524 4.025 1.580 Cl
2.524 6.568 4.740 Cl
4.380 2.196 1.580 Cl
4.380 8.396 4.740 Cl
6.235 4.025 1.580 Cl
6.235 6.568 4.740 Cl
6.904 1.272 4.740 Cl
6.904 9.321 1.580 Cl
```

VASP energy: -0.170 Ry/atom
Size of the total moment: 1.997 μB/f.u.
SG: No. 63